(1)
# Sm2InGa4Pt3, relaxed, DFT GGA-PBE
data_Sm2InGa4Pt3
_cell_length_a 4.285
_cell_length_b 4.285
_cell_length_c 10.852
_cell_angle_alpha 90.00
_cell_angle_beta 90.00
_cell_angle_gamma 90.00
_space_group_name_H-M_alt 'P 1'
_space_group_IT_number 1
loop_
_space_group_symop_operation_xyz
'x,y,z'
loop_
_atom_site_label
_atom_site_type_symbol
_atom_site_fract_x
_atom_site_fract_y
_atom_site_fract_z
Sm1 Sm 0.000 0.500 0.237
Sm2 Sm 0.500 0.000 0.763
In1 In 0.000 0.000 0.500
Ga1 Ga 0.000 0.000 0.000
Ga2 Ga 0.000 0.500 0.648
Ga3 Ga 0.500 0.000 0.352
Ga4 Ga 0.500 0.500 0.000
Pt1 Pt 0.000 0.500 0.873
Pt2 Pt 0.500 0.000 0.127
Pt3 Pt 0.500 0.500 0.500
# Symmetry ... P-4m2
# Final energy ... -5.081 eV per atom
# Energy of formation ... -81.1 kJ/mol of atoms

***

(2)
# SmInGa2Pt5, relaxed, DFT GGA-PBE
data_SmInGa2Pt5
_cell_length_a 4.190
_cell_length_b 4.190
_cell_length_c 9.494
_cell_angle_alpha 90.00
_cell_angle_beta 90.00
_cell_angle_gamma 90.00
_space_group_name_H-M_alt 'P 1'
_space_group_IT_number 1
loop_
_space_group_symop_operation_xyz
'x,y,z'
loop_
_atom_site_label
_atom_site_type_symbol
_atom_site_fract_x
_atom_site_fract_y
_atom_site_fract_z
Sm1 Sm 0.000 0.000 0.000
In1 In 0.000 0.000 0.500
Ga1 Ga 0.500 0.500 0.370
Ga2 Ga 0.500 0.500 0.630
Pt1 Pt 0.000 0.500 0.224
Pt2 Pt 0.000 0.500 0.776
Pt3 Pt 0.500 0.000 0.224
Pt4 Pt 0.500 0.000 0.776
Pt5 Pt 0.500 0.500 0.000
# Symmetry ... P4/mmm
# Final energy ... -5.468 eV per atom
# Energy of formation ... -58.9 kJ/mol of atoms

***

(3)
# Sm2InGa2Pt5, relaxed, DFT GGA-PBE
data_Sm2InGa2Pt5
_cell_length_a 9.928
_cell_length_b 9.928
_cell_length_c 3.836
_cell_angle_alpha 90.00
_cell_angle_beta 90.00
_cell_angle_gamma 90.00
_space_group_name_H-M_alt 'P 1'
_space_group_IT_number 1
loop_
_space_group_symop_operation_xyz
'x,y,z'
loop_
_atom_site_label
_atom_site_type_symbol
_atom_site_fract_x
_atom_site_fract_y
_atom_site_fract_z
Sm1 Sm 0.178 0.322 0.000
Sm2 Sm 0.322 0.822 0.000
Sm3 Sm 0.678 0.178 0.000
Sm4 Sm 0.822 0.678 0.000
In1 In 0.000 0.000 0.000
In2 In 0.500 0.500 0.000
Ga1 Ga 0.121 0.621 0.000
Ga2 Ga 0.379 0.121 0.000
Ga3 Ga 0.621 0.879 0.000
Ga4 Ga 0.879 0.379 0.000
Pt1 Pt 0.000 0.500 0.500
Pt2 Pt 0.061 0.789 0.500
Pt3 Pt 0.211 0.061 0.500
Pt4 Pt 0.289 0.561 0.500
Pt5 Pt 0.439 0.289 0.500
Pt6 Pt 0.500 0.000 0.500
Pt7 Pt 0.561 0.711 0.500
Pt8 Pt 0.711 0.439 0.500
Pt9 Pt 0.789 0.939 0.500
Pt10 Pt 0.939 0.211 0.500
# Symmetry ... P4/mbm
# Final energy ... -5.674 eV per atom
# Energy of formation ... -80.1 kJ/mol of atoms

***

(4)
# SmInGaPt3, relaxed, DFT GGA-PBE
data_SmInGaPt3
_cell_length_a 8.924
_cell_length_b 8.924
_cell_length_c 5.657
_cell_angle_alpha 90.00
_cell_angle_beta 90.00
_cell_angle_gamma 142.67
_space_group_name_H-M_alt 'P 1'
_space_group_IT_number 1
loop_
_space_group_symop_operation_xyz
'x,y,z'
loop_
_atom_site_label
_atom_site_type_symbol
_atom_site_fract_x
_atom_site_fract_y
_atom_site_fract_z
Sm1 Sm 0.207 0.793 0.750
Sm2 Sm 0.793 0.207 0.250
In1 In 0.394 0.606 0.250
In2 In 0.606 0.394 0.750
Ga1 Ga 0.091 0.909 0.250
Ga2 Ga 0.909 0.091 0.750
Pt1 Pt 0.237 0.763 0.250
Pt2 Pt 0.248 0.248 0.000
Pt3 Pt 0.248 0.248 0.500
Pt4 Pt 0.752 0.752 0.000
Pt5 Pt 0.752 0.752 0.500
Pt6 Pt 0.763 0.237 0.750
# Symmetry ... Cmcm
# Final energy ... -5.404 eV per atom
# Energy of formation ... -61.4 kJ/mol of atoms

***

(5)
# SmInGaPt, relaxed, DFT GGA-PBE
data_SmInGaPt
_cell_length_a 4.922
_cell_length_b 4.922
_cell_length_c 4.922
_cell_angle_alpha 60.00
_cell_angle_beta 60.00
_cell_angle_gamma 60.00
_space_group_name_H-M_alt 'P 1'
_space_group_IT_number 1
loop_
_space_group_symop_operation_xyz
'x,y,z'
loop_
_atom_site_label
_atom_site_type_symbol
_atom_site_fract_x
_atom_site_fract_y
_atom_site_fract_z
Sm1 Sm 0.000 0.000 0.000
In1 In 0.500 0.500 0.500
Ga1 Ga 0.250 0.250 0.250
Pt1 Pt 0.750 0.750 0.750
# Symmetry ... F-43m
# Final energy ... -4.788 eV per atom
# Energy of formation ... -63.4 kJ/mol of atoms

***

(6)
# SrInGa2Pt5, relaxed, DFT GGA-PBE
data_SrInGa2Pt5
_cell_length_a 4.093
_cell_length_b 4.093
_cell_length_c 11.543
_cell_angle_alpha 90.00
_cell_angle_beta 90.00
_cell_angle_gamma 90.00
_space_group_name_H-M_alt 'P 1'
_space_group_IT_number 1
loop_
_space_group_symop_operation_xyz
'x,y,z'
loop_
_atom_site_label
_atom_site_type_symbol
_atom_site_fract_x
_atom_site_fract_y
_atom_site_fract_z
Sr1 Sr 0.000 0.000 0.000
In1 In 0.000 0.000 0.500
Ga1 Ga 0.500 0.500 0.212
Ga2 Ga 0.500 0.500 0.788
Pt1 Pt 0.000 0.500 0.339
Pt2 Pt 0.000 0.500 0.661
Pt3 Pt 0.500 0.000 0.339
Pt4 Pt 0.500 0.000 0.661
Pt5 Pt 0.500 0.500 0.000
# Symmetry ... P4/mmm
# Final energy ... -5.047 eV per atom
# Energy of formation ... -50.9 kJ/mol of atoms

***

(7)
# SrInGaPt3, relaxed, DFT GGA-PBE
data_SrInGaPt3
_cell_length_a 8.787
_cell_length_b 8.787
_cell_length_c 5.865
_cell_angle_alpha 90.00
_cell_angle_beta 90.00
_cell_angle_gamma 140.82
_space_group_name_H-M_alt 'P 1'
_space_group_IT_number 1
loop_
_space_group_symop_operation_xyz
'x,y,z'
loop_
_atom_site_label
_atom_site_type_symbol
_atom_site_fract_x
_atom_site_fract_y
_atom_site_fract_z
Sr1 Sr 0.219 0.781 0.750
Sr2 Sr 0.781 0.219 0.250
In1 In 0.396 0.604 0.250
In2 In 0.604 0.396 0.750
Ga1 Ga 0.088 0.912 0.250
Ga2 Ga 0.912 0.088 0.750
Pt1 Pt 0.236 0.764 0.250
Pt2 Pt 0.247 0.247 0.000
Pt3 Pt 0.247 0.247 0.500
Pt4 Pt 0.753 0.753 0.000
Pt5 Pt 0.753 0.753 0.500
Pt6 Pt 0.764 0.236 0.750
# Symmetry ... Cmcm
# Final energy ... -4.841 eV per atom
# Energy of formation ... -55.9 kJ/mol of atoms

***

(8)
# Sr2InGa3Pt4, relaxed, DFT GGA-PBE
data_Sr2InGa3Pt4
_cell_length_a 4.494
_cell_length_b 4.494
_cell_length_c 10.481
_cell_angle_alpha 90.00
_cell_angle_beta 90.00
_cell_angle_gamma 90.00
_space_group_name_H-M_alt 'P 1'
_space_group_IT_number 1
loop_
_space_group_symop_operation_xyz
'x,y,z'
loop_
_atom_site_label
_atom_site_type_symbol
_atom_site_fract_x
_atom_site_fract_y
_atom_site_fract_z
Sr1 Sr 0.000 0.500 0.238
Sr2 Sr 0.500 0.000 0.762
In1 In 0.000 0.000 0.500
Ga1 Ga 0.000 0.500 0.882
Ga2 Ga 0.500 0.000 0.118
Ga3 Ga 0.500 0.500 0.500
Pt1 Pt 0.000 0.000 0.000
Pt2 Pt 0.000 0.500 0.642
Pt3 Pt 0.500 0.000 0.358
Pt4 Pt 0.500 0.500 0.000
# Symmetry ... P-4m2
# Final energy ... -4.764 eV per atom
# Energy of formation ... -80.0 kJ/mol of atoms

***

(9)
# Sr2In3GaPt4, relaxed, DFT GGA-PBE
data_Sr2In3GaPt4
_cell_length_a 4.715
_cell_length_b 4.715
_cell_length_c 10.473
_cell_angle_alpha 90.00
_cell_angle_beta 90.00
_cell_angle_gamma 90.00
_space_group_name_H-M_alt 'P 1'
_space_group_IT_number 1
loop_
_space_group_symop_operation_xyz
'x,y,z'
loop_
_atom_site_label
_atom_site_type_symbol
_atom_site_fract_x
_atom_site_fract_y
_atom_site_fract_z
Sr1 Sr 0.000 0.500 0.241
Sr2 Sr 0.500 0.000 0.759
In1 In 0.000 0.500 0.873
In2 In 0.500 0.000 0.127
In3 In 0.500 0.500 0.500
Ga1 Ga 0.000 0.000 0.500
Pt1 Pt 0.000 0.000 0.000
Pt2 Pt 0.000 0.500 0.619
Pt3 Pt 0.500 0.000 0.381
Pt4 Pt 0.500 0.500 0.000
# Symmetry ... P-4m2
# Final energy ... -4.581 eV per atom
# Energy of formation ... -68.0 kJ/mol of atoms

***

(10)
# SrInGa2Pt4, relaxed, DFT GGA-PBE
data_SrInGa2Pt4
_cell_length_a 10.085
_cell_length_b 10.085
_cell_length_c 10.085
_cell_angle_alpha 24.89
_cell_angle_beta 24.89
_cell_angle_gamma 24.89
_space_group_name_H-M_alt 'P 1'
_space_group_IT_number 1
loop_
_space_group_symop_operation_xyz
'x,y,z'
loop_
_atom_site_label
_atom_site_type_symbol
_atom_site_fract_x
_atom_site_fract_y
_atom_site_fract_z
Sr1 Sr 0.000 0.000 0.000
In1 In 0.500 0.500 0.500
Ga1 Ga 0.251 0.251 0.251
Ga2 Ga 0.749 0.749 0.749
Pt1 Pt 0.121 0.121 0.121
Pt2 Pt 0.406 0.406 0.406
Pt3 Pt 0.594 0.594 0.594
Pt4 Pt 0.879 0.879 0.879
# Symmetry ... R-3m
# Final energy ... -4.940 eV per atom
# Energy of formation ... -58.9 kJ/mol of atoms

***

(11)
# Sr2InGaPt, relaxed, DFT GGA-PBE
data_Sr2InGaPt
_cell_length_a 5.903
_cell_length_b 5.903
_cell_length_c 4.806
_cell_angle_alpha 90.00
_cell_angle_beta 90.00
_cell_angle_gamma 90.00
_space_group_name_H-M_alt 'P 1'
_space_group_IT_number 1
loop_
_space_group_symop_operation_xyz
'x,y,z'
loop_
_atom_site_label
_atom_site_type_symbol
_atom_site_fract_x
_atom_site_fract_y
_atom_site_fract_z
Sr1 Sr 0.000 0.500 0.000
Sr2 Sr 0.500 0.000 0.000
In1 In 0.000 0.000 0.500
Ga1 Ga 0.500 0.500 0.500
Pt1 Pt 0.500 0.500 0.000
# Symmetry ... P4/mmm
# Final energy ... -3.526 eV per atom
# Energy of formation ... -47.4 kJ/mol of atoms

***

(12)
# TaInGa2Pt, relaxed, DFT GGA-PBE
data_TaInGa2Pt
_cell_length_a 4.950
_cell_length_b 4.950
_cell_length_c 5.318
_cell_angle_alpha 90.00
_cell_angle_beta 90.00
_cell_angle_gamma 90.00
_space_group_name_H-M_alt 'P 1'
_space_group_IT_number 1
loop_
_space_group_symop_operation_xyz
'x,y,z'
loop_
_atom_site_label
_atom_site_type_symbol
_atom_site_fract_x
_atom_site_fract_y
_atom_site_fract_z
Ta1 Ta 0.000 0.000 0.000
In1 In 0.000 0.000 0.500
Ga1 Ga 0.000 0.500 0.000
Ga2 Ga 0.500 0.000 0.000
Pt1 Pt 0.500 0.500 0.500
# Symmetry ... P4/mmm
# Final energy ... -4.289 eV per atom
# Energy of formation ... 101.1 kJ/mol of atoms

***

(13)
# Tb2InGa3Pt4, relaxed, DFT GGA-PBE
data_Tb2InGa3Pt4
_cell_length_a 4.101
_cell_length_b 4.101
_cell_length_c 11.545
_cell_angle_alpha 90.00
_cell_angle_beta 90.00
_cell_angle_gamma 90.00
_space_group_name_H-M_alt 'P 1'
_space_group_IT_number 1
loop_
_space_group_symop_operation_xyz
'x,y,z'
loop_
_atom_site_label
_atom_site_type_symbol
_atom_site_fract_x
_atom_site_fract_y
_atom_site_fract_z
Tb1 Tb 0.000 0.500 0.241
Tb2 Tb 0.500 0.000 0.759
In1 In 0.000 0.000 0.500
Ga1 Ga 0.000 0.500 0.871
Ga2 Ga 0.500 0.000 0.129
Ga3 Ga 0.500 0.500 0.500
Pt1 Pt 0.000 0.000 0.000
Pt2 Pt 0.000 0.500 0.658
Pt3 Pt 0.500 0.000 0.342
Pt4 Pt 0.500 0.500 0.000
# Symmetry ... P-4m2
# Final energy ... -5.429 eV per atom
# Energy of formation ... -87.3 kJ/mol of atoms

***

(14)
# Tb2In2GaPt4, relaxed, DFT GGA-PBE
data_Tb2In2GaPt4
_cell_length_a 6.495
_cell_length_b 6.495
_cell_length_c 6.495
_cell_angle_alpha 119.74
_cell_angle_beta 119.74
_cell_angle_gamma 90.46
_space_group_name_H-M_alt 'P 1'
_space_group_IT_number 1
loop_
_space_group_symop_operation_xyz
'x,y,z'
loop_
_atom_site_label
_atom_site_type_symbol
_atom_site_fract_x
_atom_site_fract_y
_atom_site_fract_z
Tb1 Tb 0.196 0.196 0.000
Tb2 Tb 0.804 0.804 0.000
In1 In 0.250 0.750 0.500
In2 In 0.750 0.250 0.500
Ga1 Ga 0.500 0.500 0.000
Pt1 Pt 0.235 0.235 0.470
Pt2 Pt 0.235 0.765 0.000
Pt3 Pt 0.765 0.235 0.000
Pt4 Pt 0.765 0.765 0.530
# Symmetry ... I4/mmm
# Final energy ... -5.083 eV per atom
# Energy of formation ... -40.9 kJ/mol of atoms

***

(15)
# Tb2InGa4Pt3, relaxed, DFT GGA-PBE
data_Tb2InGa4Pt3
_cell_length_a 4.230
_cell_length_b 4.230
_cell_length_c 10.935
_cell_angle_alpha 90.00
_cell_angle_beta 90.00
_cell_angle_gamma 90.00
_space_group_name_H-M_alt 'P 1'
_space_group_IT_number 1
loop_
_space_group_symop_operation_xyz
'x,y,z'
loop_
_atom_site_label
_atom_site_type_symbol
_atom_site_fract_x
_atom_site_fract_y
_atom_site_fract_z
Tb1 Tb 0.000 0.500 0.236
Tb2 Tb 0.500 0.000 0.764
In1 In 0.000 0.000 0.500
Ga1 Ga 0.000 0.000 0.000
Ga2 Ga 0.000 0.500 0.649
Ga3 Ga 0.500 0.000 0.351
Ga4 Ga 0.500 0.500 0.000
Pt1 Pt 0.000 0.500 0.871
Pt2 Pt 0.500 0.000 0.129
Pt3 Pt 0.500 0.500 0.500
# Symmetry ... P-4m2
# Final energy ... -5.044 eV per atom
# Energy of formation ... -79.2 kJ/mol of atoms

***

(16)
# ThInGa2Pt5, relaxed, DFT GGA-PBE
data_ThInGa2Pt5
_cell_length_a 4.284
_cell_length_b 4.284
_cell_length_c 9.328
_cell_angle_alpha 90.00
_cell_angle_beta 90.00
_cell_angle_gamma 90.00
_space_group_name_H-M_alt 'P 1'
_space_group_IT_number 1
loop_
_space_group_symop_operation_xyz
'x,y,z'
loop_
_atom_site_label
_atom_site_type_symbol
_atom_site_fract_x
_atom_site_fract_y
_atom_site_fract_z
Th1 Th 0.000 0.000 0.000
In1 In 0.000 0.000 0.500
Ga1 Ga 0.500 0.500 0.369
Ga2 Ga 0.500 0.500 0.631
Pt1 Pt 0.000 0.500 0.223
Pt2 Pt 0.000 0.500 0.777
Pt3 Pt 0.500 0.000 0.223
Pt4 Pt 0.500 0.000 0.777
Pt5 Pt 0.500 0.500 0.000
# Symmetry ... P4/mmm
# Final energy ... -5.825 eV per atom
# Energy of formation ... -64.4 kJ/mol of atoms

***

(17)
# ThInGaPt, relaxed, DFT GGA-PBE
data_ThInGaPt
_cell_length_a 4.987
_cell_length_b 4.987
_cell_length_c 4.987
_cell_angle_alpha 60.00
_cell_angle_beta 60.00
_cell_angle_gamma 60.00
_space_group_name_H-M_alt 'P 1'
_space_group_IT_number 1
loop_
_space_group_symop_operation_xyz
'x,y,z'
loop_
_atom_site_label
_atom_site_type_symbol
_atom_site_fract_x
_atom_site_fract_y
_atom_site_fract_z
Th1 Th 0.000 0.000 0.000
In1 In 0.500 0.500 0.500
Ga1 Ga 0.250 0.250 0.250
Pt1 Pt 0.750 0.750 0.750
# Symmetry ... F-43m
# Final energy ... -5.458 eV per atom
# Energy of formation ... -62.9 kJ/mol of atoms

***

(18)
# Th2InGa3Pt4, relaxed, DFT GGA-PBE
data_Th2InGa3Pt4
_cell_length_a 4.315
_cell_length_b 4.315
_cell_length_c 10.810
_cell_angle_alpha 90.00
_cell_angle_beta 90.00
_cell_angle_gamma 90.00
_space_group_name_H-M_alt 'P 1'
_space_group_IT_number 1
loop_
_space_group_symop_operation_xyz
'x,y,z'
loop_
_atom_site_label
_atom_site_type_symbol
_atom_site_fract_x
_atom_site_fract_y
_atom_site_fract_z
Th1 Th 0.000 0.500 0.243
Th2 Th 0.500 0.000 0.757
In1 In 0.000 0.000 0.500
Ga1 Ga 0.000 0.500 0.876
Ga2 Ga 0.500 0.000 0.124
Ga3 Ga 0.500 0.500 0.500
Pt1 Pt 0.000 0.000 0.000
Pt2 Pt 0.000 0.500 0.650
Pt3 Pt 0.500 0.000 0.350
Pt4 Pt 0.500 0.500 0.000
# Symmetry ... P-4m2
# Final energy ... -5.977 eV per atom
# Energy of formation ... -86.3 kJ/mol of atoms

***

(19)
# Th2InGa4Pt3, relaxed, DFT GGA-PBE
data_Th2InGa4Pt3
_cell_length_a 4.310
_cell_length_b 4.310
_cell_length_c 10.798
_cell_angle_alpha 90.00
_cell_angle_beta 90.00
_cell_angle_gamma 90.00
_space_group_name_H-M_alt 'P 1'
_space_group_IT_number 1
loop_
_space_group_symop_operation_xyz
'x,y,z'
loop_
_atom_site_label
_atom_site_type_symbol
_atom_site_fract_x
_atom_site_fract_y
_atom_site_fract_z
Th1 Th 0.000 0.500 0.237
Th2 Th 0.500 0.000 0.763
In1 In 0.000 0.000 0.500
Ga1 Ga 0.000 0.000 0.000
Ga2 Ga 0.000 0.500 0.646
Ga3 Ga 0.500 0.000 0.354
Ga4 Ga 0.500 0.500 0.000
Pt1 Pt 0.000 0.500 0.873
Pt2 Pt 0.500 0.000 0.127
Pt3 Pt 0.500 0.500 0.500
# Symmetry ... P-4m2
# Final energy ... -5.614 eV per atom
# Energy of formation ... -80.4 kJ/mol of atoms

***

(20)
# ThInGaPt3, relaxed, DFT GGA-PBE
data_ThInGaPt3
_cell_length_a 8.961
_cell_length_b 8.961
_cell_length_c 5.742
_cell_angle_alpha 90.00
_cell_angle_beta 90.00
_cell_angle_gamma 143.45
_space_group_name_H-M_alt 'P 1'
_space_group_IT_number 1
loop_
_space_group_symop_operation_xyz
'x,y,z'
loop_
_atom_site_label
_atom_site_type_symbol
_atom_site_fract_x
_atom_site_fract_y
_atom_site_fract_z
Th1 Th 0.201 0.799 0.750
Th2 Th 0.799 0.201 0.250
In1 In 0.105 0.895 0.250
In2 In 0.895 0.105 0.750
Ga1 Ga 0.410 0.590 0.250
Ga2 Ga 0.590 0.410 0.750
Pt1 Pt 0.251 0.251 0.000
Pt2 Pt 0.251 0.251 0.500
Pt3 Pt 0.263 0.737 0.250
Pt4 Pt 0.737 0.263 0.750
Pt5 Pt 0.749 0.749 0.000
Pt6 Pt 0.749 0.749 0.500
# Symmetry ... Cmcm
# Final energy ... -5.829 eV per atom
# Energy of formation ... -58.9 kJ/mol of atoms